1.
Ta5NiRu6 after structural relaxation. Source: Alexandria, functional PBE-GGA.

Unit cell a=7.591 b=7.591 c=7.591 alpha=146.90 beta=127.75 gamma=63.26
Element x y z (fractional)
Ta 0.000 0.000 0.000
Ta 0.176 0.676 0.500
Ta 0.354 0.354 0.000
Ta 0.646 0.646 0.000
Ta 0.824 0.324 0.500
Ni 0.500 0.000 0.500
Ru 0.072 0.832 0.239
Ru 0.230 0.500 0.730
Ru 0.407 0.168 0.239
Ru 0.593 0.832 0.761
Ru 0.770 0.500 0.270
Ru 0.928 0.168 0.761

Summary:
Magnetization in μB per cell: 0.00
Crystal system: orthorhombic
ΔE_f in eV/atom: -0.33
N(E_F) in states/eV/cell: 6.1

=====

2.
TaNiRu2 after structural relaxation. Source: Alexandria, functional PBE-GGA.

Unit cell a=4.339 b=4.339 c=4.339 alpha=60.00 beta=60.00 gamma=60.00
Element x y z (fractional)
Ta 0.000 0.000 0.000
Ni 0.750 0.750 0.750
Ru 0.250 0.250 0.250
Ru 0.500 0.500 0.500

Summary:
Magnetization in μB per cell: 0.00
Crystal system: cubic
ΔE_f in eV/atom: 0.08
N(E_F) in states/eV/cell: 7.0

=====

3.
TaNi3Ru after structural relaxation. Source: Alexandria, functional PBE-GGA.

Unit cell a=4.363 b=4.363 c=4.363 alpha=90.00 beta=90.00 gamma=90.00
Element x y z (fractional)
Ta 0.000 0.000 0.000
Ni 0.000 0.500 0.500
Ni 0.500 0.000 0.500
Ni 0.500 0.500 0.000
Ru 0.500 0.500 0.500

Summary:
Magnetization in μB per cell: 0.00
Crystal system: cubic
ΔE_f in eV/atom: 1.39
N(E_F) in states/eV/cell: 9.3

=====

4.
Ta2NiRu after structural relaxation. Source: Alexandria, functional PBE-GGA.

Unit cell a=5.267 b=5.267 c=5.267 alpha=145.37 beta=130.72 gamma=61.62
Element x y z (fractional)
Ta 0.000 0.000 0.000
Ta 0.743 0.243 0.500
Ni 0.241 0.741 0.500
Ru 0.504 0.504 0.000

Summary:
Magnetization in μB per cell: 0.00
Crystal system: orthorhombic
ΔE_f in eV/atom: -0.12
N(E_F) in states/eV/cell: 4.3

=====

5.
TaNiRu3 after structural relaxation. Source: Alexandria, functional PBE-GGA.

Unit cell a=4.689 b=4.689 c=4.689 alpha=90.00 beta=90.00 gamma=90.00
Element x y z (fractional)
Ta 0.000 0.000 0.000
Ni 0.500 0.500 0.500
Ru 0.000 0.000 0.500
Ru 0.000 0.500 0.000
Ru 0.500 0.000 0.000

Summary:
Magnetization in μB per cell: 3.81
Crystal system: cubic
ΔE_f in eV/atom: 1.77
N(E_F) in states/eV/cell: 5.8

=====

6.
TaNi2Ru2 after structural relaxation. Source: Alexandria, functional PBE-GGA.

Unit cell a=6.976 b=6.976 c=2.800 alpha=90.00 beta=90.00 gamma=90.00
Element x y z (fractional)
Ta 0.000 0.000 0.000
Ta 0.500 0.500 0.000
Ni 0.121 0.379 0.000
Ni 0.379 0.879 0.000
Ni 0.621 0.121 0.000
Ni 0.879 0.621 0.000
Ru 0.174 0.674 0.500
Ru 0.326 0.174 0.500
Ru 0.674 0.826 0.500
Ru 0.826 0.326 0.500

Summary:
Magnetization in μB per cell: 0.00
Crystal system: tetragonal
ΔE_f in eV/atom: 0.04
N(E_F) in states/eV/cell: 13.0

=====

7.
Ta2Ni2Ru after structural relaxation. Source: Alexandria, functional PBE-GGA.

Unit cell a=5.239 b=5.239 c=6.886 alpha=109.57 beta=109.57 gamma=55.95
Element x y z (fractional)
Ta 0.040 0.309 0.141
Ta 0.309 0.040 0.641
Ta 0.691 0.960 0.359
Ta 0.960 0.691 0.859
Ni 0.232 0.549 0.549
Ni 0.451 0.768 0.951
Ni 0.549 0.232 0.049
Ni 0.768 0.451 0.451
Ru 0.201 0.799 0.250
Ru 0.799 0.201 0.750

Summary:
Magnetization in μB per cell: 0.00
Crystal system: monoclinic
ΔE_f in eV/atom: -0.21
N(E_F) in states/eV/cell: 10.0

=====

8.
TaNiRu2 after structural relaxation. Source: Alexandria, functional PBE-GGA.

Unit cell a=3.866 b=3.866 c=3.772 alpha=90.00 beta=90.00 gamma=90.00
Element x y z (fractional)
Ta 0.000 0.000 0.000
Ni 0.500 0.500 0.000
Ru 0.000 0.500 0.500
Ru 0.500 0.000 0.500

Summary:
Magnetization in μB per cell: 0.00
Crystal system: tetragonal
ΔE_f in eV/atom: -0.28
N(E_F) in states/eV/cell: 3.5